# LaBeSe2Br

An optimized crystal structure of LaBeSe2Br (GGA-PBE, Alexandria via LeMat-Bulk).

ρ = 5.77 g/cm³
relative energy among the computed polymorphs = 0.00 eV/f.u.
formation energy (no corrections) = -1.0369 eV/atom
DOS(E_F) = 0.039 states/eV per atom

Cell: 4.8791 4.8791 4.6636 Å, 90.00 90.00 90.00°
Positions (direct):
1 La 0.5000 0.5000 0.5000
2 Se 0.0000 0.5000 0.0000
3 Se 0.5000 0.0000 0.0000
4 Br 0.0000 0.0000 0.5000
5 Be 0.0000 0.0000 0.0000